# Zr2Be2InRh5, optimized geometry, DFT PBE
data_Zr2Be2InRh5
_space_group_name_H-M_alt 'P 1'
_space_group_IT_number 1
_cell_length_a 9.469
_cell_length_b 9.469
_cell_length_c 3.311
_cell_angle_alpha 90.00
_cell_angle_beta 90.00
_cell_angle_gamma 90.00
loop_
_space_group_symop_operation_xyz
'x,y,z'
loop_
_atom_site_label
_atom_site_type_symbol
_atom_site_fract_x
_atom_site_fract_y
_atom_site_fract_z
Zr1 Zr 0.176 0.324 0.000
Zr2 Zr 0.324 0.824 0.000
Zr3 Zr 0.676 0.176 0.000
Zr4 Zr 0.824 0.676 0.000
Be1 Be 0.120 0.620 0.000
Be2 Be 0.380 0.120 0.000
Be3 Be 0.620 0.880 0.000
Be4 Be 0.880 0.380 0.000
In1 In 0.000 0.000 0.000
In2 In 0.500 0.500 0.000
Rh1 Rh 0.000 0.500 0.500
Rh2 Rh 0.072 0.782 0.500
Rh3 Rh 0.218 0.072 0.500
Rh4 Rh 0.282 0.572 0.500
Rh5 Rh 0.428 0.282 0.500
Rh6 Rh 0.500 0.000 0.500
Rh7 Rh 0.572 0.718 0.500
Rh8 Rh 0.718 0.428 0.500
Rh9 Rh 0.782 0.928 0.500
Rh10 Rh 0.928 0.218 0.500
# Energy of formation, eV per atom: -0.764
# SG: P4/mbm (127)
# DOS(E_F), states/eV per cell: 9.791
# Size of the total moment, μB per formula unit: 0.0